! Sr4Sn5Au2, optimized geometry, DFT PBE-GGA; values from VASP
&SYSTEM
  ibrav = 0, nat = 11, ntyp = 3
/
ATOMIC_SPECIES
Sr 87.62 Sr.upf
Sn 118.71 Sn.upf
Au 196.97 Au.upf
CELL_PARAMETERS angstrom
8.189 0.000 0.000
0.000 3.684 0.000
-0.945 0.000 10.645
ATOMIC_POSITIONS crystal
Sr 0.169 0.000 0.373
Sr 0.257 0.000 0.946
Sr 0.743 0.000 0.054
Sr 0.831 0.000 0.627
Sn 0.196 0.500 0.663
Sn 0.447 0.500 0.201
Sn 0.500 0.500 0.500
Sn 0.553 0.500 0.799
Sn 0.804 0.500 0.337
Au 0.058 0.500 0.135
Au 0.942 0.500 0.865
! Mass density = 6.919 g/cm3

---

! Sr2Sn3Au2, optimized geometry, DFT PBE-GGA; values from VASP
&SYSTEM
  ibrav = 0, nat = 7, ntyp = 3
/
ATOMIC_SPECIES
Sr 87.62 Sr.upf
Sn 118.71 Sn.upf
Au 196.97 Au.upf
CELL_PARAMETERS angstrom
5.651 -2.308 0.000
5.651 2.308 0.000
-2.695 0.000 7.391
ATOMIC_POSITIONS crystal
Sr 0.148 0.148 0.298
Sr 0.852 0.852 0.702
Sn 0.383 0.383 0.057
Sn 0.500 0.500 0.500
Sn 0.617 0.617 0.943
Au 0.154 0.154 0.748
Au 0.846 0.846 0.252
! Mass density = 7.972 g/cm3

---

Number 1: E_form -0.563 eV/atom, total magnetic moment 0.0 Bohr magnetons per cell. Number 2: E_form -0.553 eV/atom, total magnetic moment 0.0 Bohr magnetons per cell.